The following is a DFT calculation (PBE with a Hubbard U) of crystalline CrGaPb2O6 at its relaxed geometry.

```
CrGaPb2O6
1.0
6.025 -0.001 0.002
3.014 4.800 -0.523
3.016 1.093 4.704
O Pb Cr Ga
6 2 1 1
direct
0.585 0.654 0.725 O
0.075 0.589 0.239 O
0.588 0.084 0.293 O
0.044 0.075 0.284 O
0.557 0.129 0.779 O
0.047 0.643 0.713 O
0.576 0.478 0.384 Pb
0.057 0.984 0.890 Pb
0.816 0.811 0.557 Cr
0.316 0.215 0.152 Ga
```

As for the space group: No. 5. The value obtained for the total energy is -6.094 eV/atom.